This record from Alexandria describes a geometry-optimized Ac2AlCu2 structure. The functional is GGA-PBE.

Results
density of states at the Fermi level = 7.4 states/eV/cell
calculated formation energy = -0.222 eV per atom
raw total energy = -4.25 eV per atom

Lattice parameters (Å, degrees): 6.099 6.099 8.007 78.37 78.37 59.92
Atoms (fractional coordinates):
Cu1 0.233 0.000 0.500
Cu2 0.000 0.767 0.000
Cu3 0.000 0.233 0.000
Cu4 0.767 0.000 0.500
Ac1 0.228 0.465 0.658
Ac2 0.465 0.228 0.158
Ac3 0.535 0.772 0.842
Ac4 0.772 0.535 0.342
Al1 0.867 0.133 0.750
Al2 0.133 0.867 0.250